(1)
A relaxed Tb5Ge10Ir4 crystal. Source: OQMD, functional PBE-GGA. Values from VASP.

Values from the calculation:
- mass density (kg/m3) = 10251
- calculated total energy (eV/cell) = -239.2
- V (Å³/cell) = 742

Geometry as Quantum ESPRESSO input:
```
&SYSTEM
  ibrav = 0, nat = 38, ntyp = 3
/
ATOMIC_SPECIES
Tb 158.93 Tb.upf
Ge 72.64 Ge.upf
Ir 192.22 Ir.upf
ATOMIC_POSITIONS crystal
Tb 0.0000 0.0000 0.0000
Tb 0.1150 0.3850 0.5000
Tb 0.1733 0.6733 0.5000
Tb 0.3267 0.1733 0.5000
Tb 0.3850 0.8850 0.5000
Tb 0.5000 0.5000 0.0000
Tb 0.6150 0.1150 0.5000
Tb 0.6733 0.8267 0.5000
Tb 0.8267 0.3267 0.5000
Tb 0.8850 0.6150 0.5000
Ge 0.0096 0.8434 0.5000
Ge 0.0669 0.5669 0.0000
Ge 0.1566 0.0096 0.5000
Ge 0.1626 0.2001 0.0000
Ge 0.2001 0.8374 0.0000
Ge 0.2999 0.3374 0.0000
Ge 0.3374 0.7001 0.0000
Ge 0.3434 0.5096 0.5000
Ge 0.4331 0.0669 0.0000
Ge 0.4904 0.3434 0.5000
Ge 0.5096 0.6566 0.5000
Ge 0.5669 0.9331 0.0000
Ge 0.6566 0.4904 0.5000
Ge 0.6626 0.2999 0.0000
Ge 0.7001 0.6626 0.0000
Ge 0.7999 0.1626 0.0000
Ge 0.8374 0.7999 0.0000
Ge 0.8434 0.9904 0.5000
Ge 0.9331 0.4331 0.0000
Ge 0.9904 0.1566 0.5000
Ir 0.0203 0.7538 0.0000
Ir 0.2462 0.0203 0.0000
Ir 0.2538 0.5203 0.0000
Ir 0.4797 0.2538 0.0000
Ir 0.5203 0.7462 0.0000
Ir 0.7462 0.4797 0.0000
Ir 0.7538 0.9797 0.0000
Ir 0.9797 0.2462 0.0000
CELL_PARAMETERS angstrom
13.0558 0.0000 0.0000
0.0000 13.0558 0.0000
0.0000 0.0000 4.3523
```

(2)
A relaxed PrIn crystal. Source: OQMD, functional PBE-GGA. Values from VASP.

Values from the calculation:
- mass density (kg/m3) = 6256
- calculated total energy (eV/cell) = -7.8
- V (Å³/cell) = 68

Geometry as Quantum ESPRESSO input:
```
&SYSTEM
  ibrav = 0, nat = 2, ntyp = 2
/
ATOMIC_SPECIES
Pr 140.91 Pr.upf
In 114.82 In.upf
ATOMIC_POSITIONS crystal
Pr 0.0000 0.0000 0.0000
In 0.5000 0.5000 0.5000
CELL_PARAMETERS angstrom
0.0000 3.2377 3.2377
3.2377 0.0000 3.2377
3.2377 3.2377 0.0000
```

(3)
A relaxed PrFeSb3 crystal. Source: OQMD, functional PBE-GGA. Values from VASP.

Values from the calculation:
- mass density (kg/m3) = 7705
- calculated total energy (eV/cell) = -223.4
- V (Å³/cell) = 969

Geometry as Quantum ESPRESSO input:
```
&SYSTEM
  ibrav = 0, nat = 40, ntyp = 3
/
ATOMIC_SPECIES
Pr 140.91 Pr.upf
Fe 55.84 Fe.upf
Sb 121.76 Sb.upf
ATOMIC_POSITIONS crystal
Pr 0.1962 0.2229 0.2500
Pr 0.1962 0.2771 0.7500
Pr 0.2015 0.7500 0.0000
Pr 0.2015 0.7500 0.5000
Pr 0.7985 0.2500 0.0000
Pr 0.7985 0.2500 0.5000
Pr 0.8038 0.7229 0.2500
Pr 0.8038 0.7771 0.7500
Fe 0.4016 0.0372 0.6384
Fe 0.4016 0.0372 0.8616
Fe 0.4016 0.4628 0.1384
Fe 0.4016 0.4628 0.3616
Fe 0.5984 0.5372 0.6384
Fe 0.5984 0.5372 0.8616
Fe 0.5984 0.9628 0.1384
Fe 0.5984 0.9628 0.3616
Sb 0.0026 0.0134 0.6238
Sb 0.0026 0.0134 0.8762
Sb 0.0026 0.4866 0.1238
Sb 0.0026 0.4866 0.3762
Sb 0.2856 0.2500 0.0000
Sb 0.2856 0.2500 0.5000
Sb 0.2886 0.7315 0.2500
Sb 0.2886 0.7685 0.7500
Sb 0.4432 0.1144 0.2500
Sb 0.4432 0.3856 0.7500
Sb 0.4718 0.7500 0.0000
Sb 0.4718 0.7500 0.5000
Sb 0.5282 0.2500 0.0000
Sb 0.5282 0.2500 0.5000
Sb 0.5568 0.6144 0.2500
Sb 0.5568 0.8856 0.7500
Sb 0.7114 0.2315 0.2500
Sb 0.7114 0.2685 0.7500
Sb 0.7144 0.7500 0.0000
Sb 0.7144 0.7500 0.5000
Sb 0.9974 0.5134 0.6238
Sb 0.9974 0.5134 0.8762
Sb 0.9974 0.9866 0.1238
Sb 0.9974 0.9866 0.3762
CELL_PARAMETERS angstrom
12.8761 0.0000 0.0000
0.0000 6.1909 0.0000
0.0000 0.0000 12.1555
```

(4)
A relaxed LuTlFe crystal. Source: OQMD, functional PBE-GGA. Values from VASP.

Values from the calculation:
- mass density (kg/m3) = 9779
- calculated total energy (eV/cell) = -13.7
- V (Å³/cell) = 74

Geometry as Quantum ESPRESSO input:
```
&SYSTEM
  ibrav = 0, nat = 3, ntyp = 3
/
ATOMIC_SPECIES
Lu 174.97 Lu.upf
Tl 204.38 Tl.upf
Fe 55.84 Fe.upf
ATOMIC_POSITIONS crystal
Lu 0.0000 0.0000 0.0000
Tl 0.7500 0.7500 0.7500
Fe 0.5000 0.5000 0.5000
CELL_PARAMETERS angstrom
0.0000 3.3307 3.3307
3.3307 0.0000 3.3307
3.3307 3.3307 0.0000
```

> Which of these has the highest mass density?

Tb5Ge10Ir4